## KMn2TlO (PBE with a Hubbard U)

Data for a geometry-optimized KMn2TlO structure.

Calculated values
Space group: P4/mmm
Calculated volume, Å³ per cell: 123
DOS(E_F), states/eV/cell: 2.27
Calculated density, g/cm3: 4.992
Raw total energy, eV per atom: -4.69

The structure in CIF format:
```
data_KMn2TlO
_symmetry_space_group_name_H-M 'P 1'
_symmetry_Int_Tables_number 1
_symmetry_space_group_name_Hall 'P 1'
_cell_length_a 4.472
_cell_length_b 4.472
_cell_length_c 6.144
_cell_angle_alpha 90.00
_cell_angle_beta 90.00
_cell_angle_gamma 90.00
loop_
_atom_site_label
_atom_site_type_symbol
_atom_site_fract_x
_atom_site_fract_y
_atom_site_fract_z
_atom_site_occupancy
K1 K 0.000 0.000 0.000 1
Mn1 Mn 0.000 0.500 0.500 1
Mn2 Mn 0.500 0.000 0.500 1
Tl1 Tl 0.500 0.500 0.000 1
O1 O 0.500 0.500 0.500 1
```